Mn2Cd2CoO6 after structural relaxation. Source: Alexandria via LeMat-Bulk, functional GGA+U.

Geometry as POSCAR:
```
Mn2Cd2CoO6
1.0
5.277 0.111 0.067
-2.512 4.643 0.067
-0.959 -1.648 5.366
Mn Cd Co O
2 2 1 6
direct
0.336 0.664 0.500
0.664 0.336 0.500
0.831 0.169 0.000
0.169 0.831 0.000
0.000 0.000 0.500
0.755 0.755 0.685
0.036 0.364 0.708
0.245 0.245 0.315
0.364 0.036 0.708
0.964 0.636 0.292
0.636 0.964 0.292
```

Output
Crystal system = monoclinic
E = -5.862 eV/atom
DOS at the Fermi energy = 3.93 states/eV/f.u.
Calculated volume = 134 Å³/cell